Material: TlIBr4
Method: DFT, PBE-GGA
State: optimized geometry

Results
magnetization = 0.00 μB/f.u.
excess energy over the best structure of this formula in the dataset = 0.63 eV per formula unit
uncorrected formation energy = -210 meV per atom
E = -11.9 eV per formula unit

a b c (Å): 6.0799 10.5004 9.2682
angles (deg): 90.00 105.63 90.00
Closest atoms and distances in Å follow each position.
Atoms (fractional coordinates):
Tl (0.1688, 0.2500, 0.2070)  5 Br 3.17-3.53
Tl (0.8312, 0.7500, 0.7930)  5 Br 3.17-3.53
I (0.1566, 0.7500, 0.3736)  5 Br 2.80-3.05
I (0.8434, 0.2500, 0.6264)  5 Br 2.80-3.05
Br (0.0529, 0.5688, 0.1261)  1 Br 2.67, 1 I 2.92
Br (0.0529, 0.9312, 0.1261)  1 Br 2.67, 1 I 2.92
Br (0.2856, 0.7500, 0.6871)  1 I 2.80
Br (0.3337, 0.2500, 0.6030)  2 I 3.05
Br (0.6663, 0.7500, 0.3970)  2 I 3.05
Br (0.7144, 0.2500, 0.3129)  1 I 2.80
Br (0.9471, 0.0688, 0.8739)  1 Br 2.67, 1 I 2.92
Br (0.9471, 0.4312, 0.8739)  1 Br 2.67, 1 I 2.92

=====

Material: Tl4I3Br
Method: DFT, PBE-GGA
State: optimized geometry

Results
magnetization = 0.00 μB/f.u.
excess energy over the best structure of this formula in the dataset = 0.00 eV per formula unit
uncorrected formation energy = -711 meV per atom
E = -21.5 eV per formula unit

a b c (Å): 8.5868 9.9343 8.5873
angles (deg): 90.00 109.54 90.00
Closest atoms and distances in Å follow each position.
Atoms (fractional coordinates):
Tl (0.2377, 0.1184, 0.0026)  2 Br 3.40-3.42, 4 I 3.50-3.61
Tl (0.2377, 0.8816, 0.5026)  2 Br 3.40-3.42, 4 I 3.50-3.61
Tl (0.2456, 0.3690, 0.4923)  1 Br 3.43, 5 I 3.49-3.60
Tl (0.2456, 0.6310, 0.9923)  1 Br 3.43, 5 I 3.49-3.60
Tl (0.7544, 0.3690, 0.0077)  1 Br 3.43, 5 I 3.49-3.60
Tl (0.7544, 0.6310, 0.5077)  1 Br 3.43, 5 I 3.49-3.60
Tl (0.7623, 0.1184, 0.4974)  2 Br 3.40-3.42, 4 I 3.50-3.61
Tl (0.7623, 0.8816, 0.9974)  2 Br 3.40-3.42, 4 I 3.50-3.61
I (0.0000, 0.3734, 0.7500)  6 Tl 3.51-3.53
I (0.0000, 0.6266, 0.2500)  6 Tl 3.51-3.53
I (0.5000, 0.1252, 0.7500)  6 Tl 3.50-3.61
I (0.5000, 0.3744, 0.2500)  6 Tl 3.49-3.60
I (0.5000, 0.6256, 0.7500)  6 Tl 3.49-3.60
I (0.5000, 0.8748, 0.2500)  6 Tl 3.50-3.61
Br (0.0000, 0.1240, 0.2500)  6 Tl 3.40-3.43
Br (0.0000, 0.8760, 0.7500)  6 Tl 3.40-3.43

=====

Material: TlIBr
Method: DFT, PBE-GGA
State: optimized geometry

Results
magnetization = 0.00 μB/f.u.
excess energy over the best structure of this formula in the dataset = 0.52 eV per formula unit
uncorrected formation energy = -391 meV per atom
E = -6.8 eV per formula unit

a b c (Å): 4.4367 4.4367 6.7961
angles (deg): 90.00 90.00 120.00
Closest atoms and distances in Å follow each position.
Atoms (fractional coordinates):
Tl (0.0000, 0.0000, 0.0000)  3 Br 3.09, 3 I 3.23
I (0.3333, 0.6667, 0.7103)  3 Tl 3.23
Br (0.6667, 0.3333, 0.2542)  3 Tl 3.09